! NaZn2TcNi | Alexandria | PBE | relaxed; values from VASP
! size of the total moment = 1.98 μB per cell
! energy = -2.500 eV/atom
&SYSTEM
  ibrav = 0, nat = 5, ntyp = 4
/
ATOMIC_SPECIES
Ni 58.69 Ni.upf
Zn 65.41 Zn.upf
Tc 98.00 Tc.upf
Na 22.99 Na.upf
ATOMIC_POSITIONS crystal
Ni 0.000 0.500 0.000
Zn 0.000 0.000 0.500
Zn 0.500 0.000 0.000
Tc 0.500 0.500 0.500
Na 0.000 0.000 0.000
CELL_PARAMETERS angstrom
4.463 0.000 0.000
0.000 4.262 0.000
0.000 0.000 4.463